No. 1
The following is a PBE calculation of a geometry-optimized KHo2CuS4 structure, from the Alexandria database.

Cell: 7.0251 7.0251 13.7024 Å, 90.00 90.00 147.42°
Closest atoms and distances in Å follow each position.
Atoms (fractional coordinates):
K1 0.1096 0.8904 0.2500  6 S 3.11-3.24
Ho1 0.3658 0.6342 0.0633  6 S 2.70-2.81
S1 0.5688 0.4312 0.7500  2 Cu 2.34
S2 0.2626 0.7374 0.8897  1 Cu 2.34
Cu1 0.8372 0.1628 0.2500  4 S 2.34
S3 0.0000 0.0000 0.0000  4 Ho 2.81
S4 0.7374 0.2626 0.1103  1 Cu 2.34
Cu2 0.1628 0.8372 0.7500  4 S 2.34
Ho2 0.6342 0.3658 0.9367  6 S 2.70-2.81
Ho3 0.3658 0.6342 0.4367  6 S 2.70-2.81
Ho4 0.6342 0.3658 0.5633  6 S 2.70-2.81
S5 0.2626 0.7374 0.6103  1 Cu 2.34
S6 0.7374 0.2626 0.3897  1 Cu 2.34
S7 0.0000 0.0000 0.5000  4 Ho 2.81
K2 0.8904 0.1096 0.7500  6 S 3.11-3.24
S8 0.4312 0.5688 0.2500  2 Cu 2.34

Summary:
calculated total energy = -88.366 eV per cell
space group = Cmcm (63)
E_form (uncorrected) = -1.666 eV per atom

No. 2
The following is a PBE calculation of a geometry-optimized CaHg2Bi structure, from the Alexandria database.

Cell: 3.9311 3.9311 7.1861 Å, 90.00 90.00 90.00°
Closest atoms and distances in Å follow each position.
Atoms (fractional coordinates):
Hg1 0.0000 0.0000 0.7540  4 Ca 3.29, 4 Bi 3.33, 2 Hg 3.54-3.65
Ca1 0.5000 0.5000 0.0000  8 Hg 3.29, 2 Bi 3.59
Hg2 0.0000 0.0000 0.2460  4 Ca 3.29, 4 Bi 3.33, 2 Hg 3.54-3.65
Bi1 0.5000 0.5000 0.5000  8 Hg 3.33, 2 Ca 3.59

Summary:
calculated total energy = -7.794 eV per cell
formation enthalpy at 0 K = -327.0 meV/atom
space group = P4/mmm (123)

No. 3
The following is a PBE calculation of a geometry-optimized AcCdPtO structure, from the Alexandria database.

Cell: 4.3544 4.3544 9.3519 Å, 90.00 90.00 90.00°
Closest atoms and distances in Å follow each position.
Atoms (fractional coordinates):
O1 0.0000 0.0000 0.0000  4 Ac 2.50
Pt1 0.5000 0.0000 0.6796  4 Cd 2.75
Ac1 0.5000 0.0000 0.1317  4 O 2.50
Ac2 0.0000 0.5000 0.8683  4 O 2.50
O2 0.5000 0.5000 0.0000  4 Ac 2.50
Cd1 0.0000 0.0000 0.5000  4 Pt 2.75, 4 Cd 3.08
Cd2 0.5000 0.5000 0.5000  4 Pt 2.75, 4 Cd 3.08
Pt2 0.0000 0.5000 0.3204  4 Cd 2.75

Summary:
calculated total energy = -45.001 eV per cell
space group = P4/nmm (129)
E_form (uncorrected) = -1.620 eV per atom

No. 4
The following is a PBE calculation of a geometry-optimized TbTm4N4 structure, from the Alexandria database.

Cell: 5.9639 5.9639 5.9639 Å, 99.42 99.42 132.29°
Closest atoms and distances in Å follow each position.
Atoms (fractional coordinates):
Tm1 0.3911 0.1874 0.5785  5 N 2.32-2.46
N1 0.3017 0.8999 0.2017  5 Tm 2.32-2.46, 1 Tb 2.45
Tm2 0.6089 0.8126 0.4215  5 N 2.32-2.46
Tb1 0.0000 0.0000 0.0000  4 N 2.45
Tm3 0.1874 0.6089 0.7963  5 N 2.32-2.46
N2 0.1001 0.3017 0.4018  5 Tm 2.32-2.46, 1 Tb 2.45
Tm4 0.8126 0.3911 0.2037  5 N 2.32-2.46
N3 0.6983 0.1001 0.7983  5 Tm 2.32-2.46, 1 Tb 2.45
N4 0.8999 0.6983 0.5982  5 Tm 2.32-2.46, 1 Tb 2.45

Summary:
calculated total energy = -70.017 eV per cell
space group = I4/m (87)
E_form (uncorrected) = -1.578 eV per atom

Q: Among the records above, which one has the highest calculated total energy?
A: CaHg2Bi

Q: Which of these has the highest calculated total energy?
A: CaHg2Bi

Repeat the first record exactly.
The following is a PBE calculation of a geometry-optimized KHo2CuS4 structure, from the Alexandria database.

Cell: 7.0251 7.0251 13.7024 Å, 90.00 90.00 147.42°
Closest atoms and distances in Å follow each position.
Atoms (fractional coordinates):
K1 0.1096 0.8904 0.2500  6 S 3.11-3.24
Ho1 0.3658 0.6342 0.0633  6 S 2.70-2.81
S1 0.5688 0.4312 0.7500  2 Cu 2.34
S2 0.2626 0.7374 0.8897  1 Cu 2.34
Cu1 0.8372 0.1628 0.2500  4 S 2.34
S3 0.0000 0.0000 0.0000  4 Ho 2.81
S4 0.7374 0.2626 0.1103  1 Cu 2.34
Cu2 0.1628 0.8372 0.7500  4 S 2.34
Ho2 0.6342 0.3658 0.9367  6 S 2.70-2.81
Ho3 0.3658 0.6342 0.4367  6 S 2.70-2.81
Ho4 0.6342 0.3658 0.5633  6 S 2.70-2.81
S5 0.2626 0.7374 0.6103  1 Cu 2.34
S6 0.7374 0.2626 0.3897  1 Cu 2.34
S7 0.0000 0.0000 0.5000  4 Ho 2.81
K2 0.8904 0.1096 0.7500  6 S 3.11-3.24
S8 0.4312 0.5688 0.2500  2 Cu 2.34

Summary:
calculated total energy = -88.366 eV per cell
space group = Cmcm (63)
E_form (uncorrected) = -1.666 eV per atom

Q: What is the formula in the second record?
A: CaHg2Bi